1.
Crystalline PmPd3 at its relaxed geometry, computed with PBEsol.

a b c (Å): 4.103 4.103 4.103
angles (deg): 90.00 90.00 90.00
Fractional coordinates of all 4 atoms:
Pm: 0.000 0.000 0.000
Pd: 0.000 0.500 0.500
Pd: 0.500 0.000 0.500
Pd: 0.500 0.500 0.000

Results
- calculated volume (A^3/atom) = 17.3
- uncorrected energy (eV/atom) = -6.55
- size of the total moment (μB/atom) = 0.00

---

2.
Crystalline LaRuRh2 at its relaxed geometry, computed with PBEsol.

a b c (Å): 4.582 4.582 4.582
angles (deg): 60.00 60.00 60.00
Fractional coordinates of all 4 atoms:
La: 0.000 0.000 0.000
Ru: 0.250 0.250 0.250
Rh: 0.500 0.500 0.500
Rh: 0.750 0.750 0.750

Results
- calculated volume (A^3/atom) = 17.0
- uncorrected energy (eV/atom) = -7.79
- size of the total moment (μB/atom) = 0.61
- ΔE to the lowest computed polymorph (meV per atom) = 165

---

3.
Crystalline SrBe2Ru at its relaxed geometry, computed with PBEsol.

a b c (Å): 3.147 3.409 6.267
angles (deg): 90.00 104.26 90.00
Fractional coordinates of all 4 atoms:
Sr: 0.000 0.000 0.000
Be: 0.661 0.500 0.331
Be: 0.762 0.000 0.536
Ru: 0.288 0.500 0.587

Results
- calculated volume (A^3/atom) = 16.3
- uncorrected energy (eV/atom) = -4.80
- size of the total moment (μB/atom) = 0.00
- ΔE to the lowest computed polymorph (meV per atom) = 0

---

4.
Crystalline LiFeSe2 at its relaxed geometry, computed with PBEsol.

a b c (Å): 3.080 3.080 6.704
angles (deg): 90.00 90.00 90.00
Fractional coordinates of all 4 atoms:
Li: 0.000 0.000 0.000
Fe: 0.000 0.000 0.500
Se: 0.500 0.500 0.276
Se: 0.500 0.500 0.724

Results
- E_form (uncorrected) (meV/atom) = -292
- calculated volume (A^3/atom) = 15.9
- uncorrected energy (eV/atom) = -4.95
- size of the total moment (μB/atom) = 0.67

---

5.
Crystalline LiTaBiF2 at its relaxed geometry, computed with PBEsol.

a b c (Å): 3.889 3.889 5.361
angles (deg): 90.00 90.00 90.00
Fractional coordinates of all 5 atoms:
Li: 0.000 0.000 0.000
Ta: 0.500 0.500 0.500
Bi: 0.000 0.000 0.500
F: 0.000 0.500 0.000
F: 0.500 0.000 0.000

Results
- E_form (uncorrected) (meV/atom) = -688
- calculated volume (A^3/atom) = 16.2
- uncorrected energy (eV/atom) = -5.22
- size of the total moment (μB/atom) = 0.18

---

6.
Crystalline CoRe2W at its relaxed geometry, computed with PBEsol.

a b c (Å): 2.696 2.696 7.579
angles (deg): 90.00 90.00 90.00
Fractional coordinates of all 4 atoms:
Co: 0.000 0.000 0.000
Re: 0.000 0.000 0.487
Re: 0.500 0.500 0.231
W: 0.500 0.500 0.763

Results
- calculated volume (A^3/atom) = 13.8
- uncorrected energy (eV/atom) = -11.94
- size of the total moment (μB/atom) = 0.00
- ΔE to the lowest computed polymorph (meV per atom) = 72

---

7.
Crystalline Sc3Ag at its relaxed geometry, computed with PBEsol.

a b c (Å): 5.900 5.900 5.900
angles (deg): 146.01 131.67 60.40
Fractional coordinates of all 4 atoms:
Sc: 0.000 0.000 0.000
Sc: 0.277 0.777 0.500
Sc: 0.723 0.223 0.500
Ag: 0.500 0.500 0.000

Results
- calculated volume (A^3/atom) = 21.2
- uncorrected energy (eV/atom) = -5.90
- size of the total moment (μB/atom) = 0.00
- ΔE to the lowest computed polymorph (meV per atom) = 26

---

8.
Crystalline Sc3IrC4 at its relaxed geometry, computed with PBEsol.

a b c (Å): 6.674 6.674 6.674
angles (deg): 150.46 141.24 49.48
Fractional coordinates of all 8 atoms:
Sc: 0.000 0.000 0.000
Sc: 0.309 0.809 0.500
Sc: 0.691 0.191 0.500
Ir: 0.500 0.500 0.000
C: 0.037 0.373 0.664
C: 0.291 0.627 0.664
C: 0.709 0.373 0.336
C: 0.963 0.627 0.336

Results
- calculated volume (A^3/atom) = 11.4
- uncorrected energy (eV/atom) = -9.10
- size of the total moment (μB/atom) = 0.00

---

9.
Crystalline PbCl2 at its relaxed geometry, computed with PBEsol.

a b c (Å): 6.681 6.681 4.365
angles (deg): 90.00 90.00 90.00
Fractional coordinates of all 6 atoms:
Pb: 0.000 0.000 0.000
Pb: 0.500 0.500 0.500
Cl: 0.198 0.198 0.500
Cl: 0.302 0.698 0.000
Cl: 0.698 0.302 0.000
Cl: 0.802 0.802 0.500

Results
- E_form (uncorrected) (meV/atom) = -1090
- calculated volume (A^3/atom) = 32.5
- uncorrected energy (eV/atom) = -3.76
- size of the total moment (μB/atom) = 0.00

---

10.
Crystalline Li2LaCr at its relaxed geometry, computed with PBEsol.

a b c (Å): 3.622 3.622 6.514
angles (deg): 90.00 90.00 90.00
Fractional coordinates of all 4 atoms:
Li: 0.000 0.000 0.196
Li: 0.000 0.000 0.804
La: 0.500 0.500 0.500
Cr: 0.500 0.500 0.000

Results
- calculated volume (A^3/atom) = 21.4
- uncorrected energy (eV/atom) = -4.32
- size of the total moment (μB/atom) = 0.92

---

no.,ρ (g cm⁻³)
1,11.2
2,10.9
3,5.3
4,5.8
5,8.9
6,18.5
7,4.7
8,6.8
9,4.7
10,4.0